# 1
# Li2CdPd GGA-PBE relaxed
# Magnetic moment ... 0.000 μB per atom
# DFT formation energy ... -0.3943 eV/atom
# Total energy ... -2.88 eV per atom
data_Li2CdPd
_chemical_formula_sum 'Li4 Cd2 Pd2'
_symmetry_space_group_name_H-M 'C 1 2 1'
_symmetry_Int_Tables_number 5
_cell_length_a 6.270
_cell_length_b 6.526
_cell_length_c 4.482
_cell_angle_alpha 90.00
_cell_angle_beta 134.27
_cell_angle_gamma 90.00
loop_
_symmetry_equiv_pos_as_xyz
'x,y,z'
'-x,y,-z'
'x+1/2,y+1/2,z'
'-x+1/2,y+1/2,-z'
loop_
_atom_site_label
_atom_site_type_symbol
_atom_site_fract_x
_atom_site_fract_y
_atom_site_fract_z
_atom_site_occupancy
Li1 Li 0.000 0.000 0.000 1
Li2 Li 0.000 0.249 0.500 1
Cd1 Cd 0.000 0.750 0.500 1
Pd1 Pd 0.000 0.499 0.000 1

# 2
# TlSiRu2 GGA-PBE relaxed
# Magnetic moment ... 0.000 μB per atom
# Total energy ... -6.51 eV per atom
# Formation energy from raw total energies ... 0.072 eV/atom
data_TlSiRu2
_chemical_formula_sum 'Tl2 Si2 Ru4'
_symmetry_space_group_name_H-M 'C 1 m 1'
_symmetry_Int_Tables_number 8
_cell_length_a 7.288
_cell_length_b 3.026
_cell_length_c 6.831
_cell_angle_alpha 90.00
_cell_angle_beta 115.56
_cell_angle_gamma 90.00
loop_
_symmetry_equiv_pos_as_xyz
'x,y,z'
'x,-y,z'
'x+1/2,y+1/2,z'
'x+1/2,-y+1/2,z'
loop_
_atom_site_label
_atom_site_type_symbol
_atom_site_fract_x
_atom_site_fract_y
_atom_site_fract_z
_atom_site_occupancy
Tl1 Tl 0.000 0.000 0.000 1
Si1 Si 0.213 0.000 0.505 1
Ru1 Ru 0.079 0.500 0.683 1
Ru2 Ru 0.345 0.500 0.323 1

# 3
# MnHgBr2 GGA-PBE relaxed
# Magnetic moment ... 0.010 μB per atom
# Total energy ... -3.09 eV per atom
# Formation energy from raw total energies ... 0.115 eV/atom
data_MnHgBr2
_chemical_formula_sum 'Mn4 Hg4 Br8'
_symmetry_space_group_name_H-M 'I -4 2 d'
_symmetry_Int_Tables_number 122
_symmetry_space_group_name_Hall 'I -4 2bw'
_cell_length_a 7.389
_cell_length_b 7.389
_cell_length_c 9.546
_cell_angle_alpha 90.00
_cell_angle_beta 90.00
_cell_angle_gamma 90.00
loop_
_atom_site_label
_atom_site_type_symbol
_atom_site_fract_x
_atom_site_fract_y
_atom_site_fract_z
_atom_site_occupancy
Mn1 Mn 0.000 0.000 0.000 1
Hg1 Hg 0.000 0.000 0.500 1
Br1 Br 0.103 0.250 0.125 1

# 4
# CaTlFe4 GGA-PBE relaxed
# Magnetic moment ... 1.525 μB per atom
# DFT formation energy ... 0.2339 eV/atom
# Total energy ... -6.14 eV per atom
data_CaTlFe4
_chemical_formula_sum 'Ca4 Tl4 Fe16'
_symmetry_space_group_name_H-M 'F -4 3 m'
_symmetry_Int_Tables_number 216
_symmetry_space_group_name_Hall 'F -4 2 3'
_cell_length_a 7.242
_cell_length_b 7.242
_cell_length_c 7.242
_cell_angle_alpha 90.00
_cell_angle_beta 90.00
_cell_angle_gamma 90.00
loop_
_atom_site_label
_atom_site_type_symbol
_atom_site_fract_x
_atom_site_fract_y
_atom_site_fract_z
_atom_site_occupancy
Ca1 Ca 0.000 0.000 0.000 1
Tl1 Tl 0.250 0.250 0.250 1
Fe1 Fe 0.126 0.126 0.626 1

# 5
# Ba4AgPt GGA-PBE relaxed
# Magnetic moment ... 0.000 μB per atom
# DFT formation energy ... -0.3494 eV/atom
# Total energy ... -3.11 eV per atom
data_Ba4AgPt
_chemical_formula_sum 'Ba4 Ag1 Pt1'
_symmetry_space_group_name_H-M 'P -1'
_symmetry_Int_Tables_number 2
_cell_length_a 5.604
_cell_length_b 5.608
_cell_length_c 7.998
_cell_angle_alpha 89.85
_cell_angle_beta 89.71
_cell_angle_gamma 90.00
loop_
_symmetry_equiv_pos_as_xyz
'x,y,z'
'-x,-y,-z'
loop_
_atom_site_label
_atom_site_type_symbol
_atom_site_fract_x
_atom_site_fract_y
_atom_site_fract_z
_atom_site_occupancy
Ba1 Ba 0.000 0.001 0.237 1
Ba2 Ba 0.499 0.500 0.763 1
Ag1 Ag 0.000 0.500 0.500 1
Pt1 Pt 0.500 0.000 0.000 1

# 6
# Ac2Al3Pd12Rh GGA-PBE relaxed
# Magnetic moment ... 0.000 μB per atom
# DFT formation energy ... -0.2551 eV/atom
# Total energy ... -5.21 eV per atom
data_Ac2Al3Pd12Rh
_chemical_formula_sum 'Ac6 Al9 Pd36 Rh3'
_symmetry_space_group_name_H-M 'R -3 m'
_symmetry_Int_Tables_number 166
_symmetry_space_group_name_Hall '-R 3 2"'
_cell_length_a 8.4216
_cell_length_b 8.4216
_cell_length_c 18.1739
_cell_angle_alpha 90.00
_cell_angle_beta 90.00
_cell_angle_gamma 120.00
loop_
_atom_site_label
_atom_site_type_symbol
_atom_site_fract_x
_atom_site_fract_y
_atom_site_fract_z
_atom_site_occupancy
Ac1 Ac 0.0000 0.0000 0.1140 1
Al1 Al 0.0000 0.5000 0.0000 1
Pd1 Pd 0.0094 0.5047 0.8685 1
Pd2 Pd 0.0231 0.5116 0.3735 1
Rh1 Rh 0.0000 0.0000 0.5000 1